Material: MnNi3
Method: DFT, GGA-PBEsol
State: optimized geometry

a b c (Å): 4.299 4.299 4.255
angles (deg): 100.53 100.53 34.22
Element x y z (fractional)
1 Mn 0.000 0.000 0.000
2 Ni 0.249 0.249 0.745
3 Ni 0.500 0.500 0.500
4 Ni 0.751 0.751 0.255

## Properties
Energy of formation: 0.031 eV/atom
Density of states at the Fermi level: 6.12 states/eV/cell
Total DFT energy (no corrections): -7.03 eV/atom
Volume: 10.85 Å³/atom

Material: MnNi3
Method: DFT, GGA-PBEsol
State: optimized geometry

a b c (Å): 4.252 4.252 2.529
angles (deg): 90.00 90.00 108.58
Element x y z (fractional)
1 Mn 0.000 0.000 0.000
2 Ni 0.000 0.500 0.500
3 Ni 0.500 0.000 0.500
4 Ni 0.500 0.500 0.000

## Properties
Energy of formation: 0.012 eV/atom
Density of states at the Fermi level: 4.16 states/eV/cell
Total DFT energy (no corrections): -7.05 eV/atom
Volume: 10.84 Å³/atom

Material: MnNi3
Method: DFT, GGA-PBEsol
State: optimized geometry

a b c (Å): 4.335 8.084 4.952
angles (deg): 90.00 90.00 90.00
Element x y z (fractional)
1 Mn 0.081 0.250 0.109
2 Mn 0.419 0.750 0.609
3 Mn 0.581 0.250 0.391
4 Mn 0.919 0.750 0.891
5 Ni 0.084 0.250 0.616
6 Ni 0.243 0.000 0.368
7 Ni 0.243 0.500 0.368
8 Ni 0.257 0.000 0.868
9 Ni 0.257 0.500 0.868
10 Ni 0.416 0.750 0.116
11 Ni 0.584 0.250 0.884
12 Ni 0.743 0.000 0.132
13 Ni 0.743 0.500 0.132
14 Ni 0.757 0.000 0.632
15 Ni 0.757 0.500 0.632
16 Ni 0.916 0.750 0.384

## Properties
Energy of formation: 0.023 eV/atom
Density of states at the Fermi level: 21.33 states/eV/cell
Total DFT energy (no corrections): -7.04 eV/atom
Volume: 10.85 Å³/atom

Material: MnNi3
Method: DFT, GGA-PBEsol
State: optimized geometry

a b c (Å): 2.446 2.446 7.959
angles (deg): 90.00 90.00 120.00
Element x y z (fractional)
1 Mn 0.000 0.000 0.000
2 Ni 0.000 0.000 0.500
3 Ni 0.667 0.333 0.245
4 Ni 0.667 0.333 0.755

## Properties
Energy of formation: 0.043 eV/atom
Density of states at the Fermi level: 6.55 states/eV/cell
Total DFT energy (no corrections): -7.02 eV/atom
Volume: 10.31 Å³/atom

Material: MnNi2
Method: DFT, GGA-PBEsol
State: optimized geometry

a b c (Å): 4.950 3.569 7.453
angles (deg): 90.00 90.00 90.00
Element x y z (fractional)
1 Mn 0.140 0.250 0.093
2 Mn 0.360 0.750 0.593
3 Mn 0.640 0.250 0.407
4 Mn 0.860 0.750 0.907
5 Ni 0.111 0.250 0.754
6 Ni 0.133 0.250 0.421
7 Ni 0.367 0.750 0.921
8 Ni 0.389 0.750 0.254
9 Ni 0.611 0.250 0.746
10 Ni 0.633 0.250 0.079
11 Ni 0.867 0.750 0.579
12 Ni 0.889 0.750 0.246

## Properties
Energy of formation: 0.003 eV/atom
Density of states at the Fermi level: 16.31 states/eV/cell
Total DFT energy (no corrections): -7.36 eV/atom
Volume: 10.97 Å³/atom

Material: MnNi
Method: DFT, GGA-PBEsol
State: optimized geometry

a b c (Å): 2.418 2.418 3.572
angles (deg): 90.00 90.00 90.00
Element x y z (fractional)
1 Mn 0.000 0.000 0.000
2 Ni 0.500 0.500 0.500

## Properties
Energy of formation: 0.071 eV/atom
Density of states at the Fermi level: 2.48 states/eV/cell
Total DFT energy (no corrections): -7.89 eV/atom
Volume: 10.44 Å³/atom

Material: MnNi4
Method: DFT, GGA-PBEsol
State: optimized geometry

a b c (Å): 4.286 4.286 4.286
angles (deg): 99.69 99.69 131.55
Element x y z (fractional)
1 Mn 0.000 0.000 0.000
2 Ni 0.197 0.402 0.598
3 Ni 0.402 0.803 0.205
4 Ni 0.598 0.197 0.795
5 Ni 0.803 0.598 0.402

## Properties
Energy of formation: -0.011 eV/atom
Density of states at the Fermi level: 6.84 states/eV/cell
Total DFT energy (no corrections): -6.89 eV/atom
Volume: 10.75 Å³/atom

Material: MnNi
Method: DFT, GGA-PBEsol
State: optimized geometry

a b c (Å): 2.866 2.866 2.866
angles (deg): 90.00 90.00 90.00
Element x y z (fractional)
1 Mn 0.000 0.000 0.000
2 Ni 0.500 0.500 0.500

## Properties
Energy of formation: 0.083 eV/atom
Density of states at the Fermi level: 1.50 states/eV/cell
Total DFT energy (no corrections): -7.88 eV/atom
Volume: 11.78 Å³/atom

Material: Mn5Ni
Method: DFT, GGA-PBEsol
State: optimized geometry

a b c (Å): 3.921 6.548 6.548
angles (deg): 21.46 90.00 90.00
Element x y z (fractional)
1 Mn 0.000 0.000 0.000
2 Mn 0.000 0.331 0.331
3 Mn 0.000 0.664 0.664
4 Mn 0.500 0.223 0.223
5 Mn 0.500 0.557 0.557
6 Ni 0.500 0.888 0.888

## Properties
Polymorph energy (0 for the lowest one): 14 meV/atom
Energy of formation: 0.034 eV/atom
Density of states at the Fermi level: 7.94 states/eV/cell
Total DFT energy (no corrections): -9.13 eV/atom
Volume: 10.25 Å³/atom

Material: Mn5Ni
Method: DFT, GGA-PBEsol
State: optimized geometry

a b c (Å): 4.629 4.629 5.816
angles (deg): 103.69 103.69 30.63
Element x y z (fractional)
1 Mn 0.000 0.000 0.000
2 Mn 0.054 0.054 0.621
3 Mn 0.333 0.333 0.668
4 Mn 0.666 0.666 0.337
5 Mn 0.722 0.722 0.945
6 Ni 0.389 0.389 0.280

## Properties
Polymorph energy (0 for the lowest one): 20 meV/atom
Energy of formation: 0.039 eV/atom
Density of states at the Fermi level: 7.55 states/eV/cell
Total DFT energy (no corrections): -9.12 eV/atom
Volume: 10.26 Å³/atom

Material: Mn3Ni2
Method: DFT, GGA-PBEsol
State: optimized geometry

a b c (Å): 10.145 10.145 10.145
angles (deg): 13.77 13.77 13.77
Element x y z (fractional)
1 Mn 0.000 0.000 0.000
2 Mn 0.198 0.198 0.198
3 Mn 0.802 0.802 0.802
4 Ni 0.400 0.400 0.400
5 Ni 0.600 0.600 0.600

## Properties
Energy of formation: 0.078 eV/atom
Density of states at the Fermi level: 7.57 states/eV/cell
Total DFT energy (no corrections): -8.24 eV/atom
Volume: 10.29 Å³/atom

Material: MnNi2
Method: DFT, GGA-PBEsol
State: optimized geometry

a b c (Å): 5.620 5.620 3.560
angles (deg): 90.00 90.00 144.37
Element x y z (fractional)
1 Mn 0.090 0.910 0.750
2 Mn 0.910 0.090 0.250
3 Ni 0.250 0.750 0.250
4 Ni 0.417 0.583 0.750
5 Ni 0.583 0.417 0.250
6 Ni 0.750 0.250 0.750

## Properties
Energy of formation: 0.011 eV/atom
Density of states at the Fermi level: 9.38 states/eV/cell
Total DFT energy (no corrections): -7.35 eV/atom
Volume: 10.92 Å³/atom

Number 1: magnetization 4.90 μB/f.u.. Number 2: magnetization 4.97 μB/f.u.. Number 3: magnetization 4.96 μB/f.u.. Number 4: magnetization 1.61 μB/f.u.. Number 5: magnetization 4.09 μB/f.u.. Number 6: magnetization 1.69 μB/f.u.. Number 7: magnetization 5.62 μB/f.u.. Number 8: magnetization 4.31 μB/f.u.. Number 9: magnetization 0.01 μB/f.u.. Number 10: magnetization 0.00 μB/f.u.. Number 11: magnetization 0.00 μB/f.u.. Number 12: magnetization 3.89 μB/f.u..